No. 1
Here is crystalline HoIn2Cu at its relaxed geometry from Alexandria. Energies are from GGA-PBE.

Geometry as CIF:
```
data_HoIn2Cu
_chemical_formula_sum 'Ho1 In2 Cu1'
_space_group_name_H-M_alt 'P 4/m m m'
_space_group_IT_number 123
_space_group_name_Hall '-P 4 2'
_cell_length_a 3.365
_cell_length_b 3.365
_cell_length_c 7.634
_cell_angle_alpha 90.00
_cell_angle_beta 90.00
_cell_angle_gamma 90.00
loop_
_atom_site_label
_atom_site_type_symbol
_atom_site_fract_x
_atom_site_fract_y
_atom_site_fract_z
Ho1 Ho 0.000 0.000 0.000
In1 In 0.500 0.500 0.293
Cu1 Cu 0.000 0.000 0.500
```

Computed properties:
E_tot, eV/atom: -3.71
Formation energy from the elements, eV per formula unit: -0.71
Spin magnetization, μB per cell: 0.3

***

No. 2
Here is crystalline CeZrTe2 at its relaxed geometry from Alexandria. Energies are from GGA-PBE.

Geometry as CIF:
```
data_CeZrTe2
_chemical_formula_sum 'Ce3 Zr3 Te6'
_space_group_name_H-M_alt 'R -3 m'
_space_group_IT_number 166
_space_group_name_Hall '-R 3 2"'
_cell_length_a 3.8936
_cell_length_b 3.8936
_cell_length_c 30.1288
_cell_angle_alpha 90.00
_cell_angle_beta 90.00
_cell_angle_gamma 120.00
loop_
_atom_site_label
_atom_site_type_symbol
_atom_site_fract_x
_atom_site_fract_y
_atom_site_fract_z
Ce1 Ce 0.0000 0.0000 0.0000
Zr1 Zr 0.0000 0.0000 0.5000
Te1 Te 0.0000 0.0000 0.1051
```

Computed properties:
Excess energy over the best structure of this formula in the dataset, eV per atom: 0.409
E_tot, eV/atom: -5.74
E_form (uncorrected), eV/f.u.: -2.210
Spin magnetization, μB per cell: 4.8

***

No. 3
Here is crystalline RbNbCd at its relaxed geometry from Alexandria. Energies are from GGA-PBE.

Geometry as CIF:
```
data_RbNbCd
_chemical_formula_sum 'Rb2 Nb2 Cd2'
_space_group_name_H-M_alt 'P -1'
_space_group_IT_number 2
_space_group_name_Hall '-P 1'
_cell_length_a 3.466
_cell_length_b 4.851
_cell_length_c 13.099
_cell_angle_alpha 100.59
_cell_angle_beta 90.18
_cell_angle_gamma 90.01
loop_
_atom_site_label
_atom_site_type_symbol
_atom_site_fract_x
_atom_site_fract_y
_atom_site_fract_z
Rb1 Rb 0.245 0.336 0.167
Nb1 Nb 0.251 0.537 0.574
Cd1 Cd 0.249 0.950 0.399
```

Computed properties:
Excess energy over the best structure of this formula in the dataset, eV per atom: 0.097
E_tot, eV/atom: -3.58
Formation energy from the elements, eV per formula unit: 1.21
Spin magnetization, μB per cell: 0.0

***

No. 4
Here is crystalline V3HW at its relaxed geometry from Alexandria. Energies are from GGA-PBE.

Geometry as CIF:
```
data_V3HW
_chemical_formula_sum 'V3 H1 W1'
_space_group_name_H-M_alt 'P m -3 m'
_space_group_IT_number 221
_space_group_name_Hall '-P 4 2 3'
_cell_length_a 3.908
_cell_length_b 3.908
_cell_length_c 3.908
_cell_angle_alpha 90.00
_cell_angle_beta 90.00
_cell_angle_gamma 90.00
loop_
_atom_site_label
_atom_site_type_symbol
_atom_site_fract_x
_atom_site_fract_y
_atom_site_fract_z
V1 V 0.000 0.000 0.500
H1 H 0.000 0.000 0.000
W1 W 0.500 0.500 0.500
```

Computed properties:
Excess energy over the best structure of this formula in the dataset, eV per atom: 0.214
E_tot, eV/atom: -8.61
Spin magnetization, μB per cell: 0.0